This record from the Alexandria database describes a relaxed MoRuPb2 crystal. The functional is PBE-GGA.

abc: 5.7518 5.7518 5.7518
angles: 139.38 139.38 58.80
Last column: nearest neighbours and their distance in Å.
Sites, in units of the cell vectors:
1 Mo 0.0000 0.0000 0.0000  4 Pb 2.82
2 Ru 0.7500 0.2500 0.5000  4 Pb 2.82
3 Pb 0.2500 0.7500 0.5000  4 Ru 2.82
4 Pb 0.5000 0.5000 0.0000  4 Mo 2.82

Computed properties:
- Energy of formation: 843 meV per atom
- Fermi-level density of states: 1.27 states/eV per atom
- Total magnetization: 0.0 μB/cell
- E: -6.038 eV/atom
- Excess energy over the best structure of this formula in the dataset: 585 meV per atom
- Crystal system: tetragonal